The following is a PBE-GGA calculation of a geometry-optimized HoTm6Th2 structure, from Alexandria.

* space group: C2/c (15)
* crystal system: monoclinic
* theoretical density: 9.63 g/cm3
* final energy: -89.87 eV for the cell shown
* M_tot: 0.00 μB/f.u.
* ΔE_f: 0.15 eV/atom

POSCAR file:
```
HoTm6Th2
1.0
6.3441 -0.4472 1.5023
1.9469 9.2494 0.3182
-0.9303 -1.3411 9.3155
Ho Tm Th
2 12 4
Direct
0.2500 0.1120 0.8880
0.7500 0.8880 0.1120
0.5068 0.6545 0.2717
0.9932 0.7283 0.3455
0.4932 0.3455 0.7283
0.0068 0.2717 0.6545
0.7256 0.0626 0.4555
0.7744 0.5445 0.9374
0.2744 0.9374 0.5445
0.2256 0.4555 0.0626
0.3138 0.7718 0.9535
0.1862 0.0465 0.2282
0.6862 0.2282 0.0465
0.8138 0.9535 0.7718
0.1212 0.6113 0.6583
0.3788 0.3417 0.3887
0.8788 0.3887 0.3417
0.6212 0.6583 0.6113
```